[1]
Below is crystalline LiPrGaRu at its relaxed geometry, with properties calculated at the PBE level.

The structure in extended XYZ format:
```
16
Lattice="6.6755 0.0000 0.0000 0.0000 6.6755 0.0000 0.0000 0.0000 6.6755" Properties=species:S:1:pos:R:3 pbc="T T T"
Li 0.0000 0.0000 0.0000
Li 0.0000 3.3377 3.3377
Li 3.3377 0.0000 3.3377
Li 3.3377 3.3377 0.0000
Pr 1.6689 1.6689 1.6689
Pr 1.6689 5.0066 5.0066
Pr 5.0066 1.6689 5.0066
Pr 5.0066 5.0066 1.6689
Ga 1.6689 1.6689 5.0066
Ga 1.6689 5.0066 1.6689
Ga 5.0066 1.6689 1.6689
Ga 5.0066 5.0066 5.0066
Ru 0.0000 0.0000 3.3377
Ru 0.0000 3.3377 0.0000
Ru 3.3377 0.0000 0.0000
Ru 3.3377 3.3377 3.3377
```

Summary:
The calculated formation energy is -73 kJ/mol of formula units. The space-group type is No. 216. As for the total magnetization: 0.0 μB/cell.

[2]
Below is crystalline La4NdHo3Se8 at its relaxed geometry, with properties calculated at the PBE level.

The structure in extended XYZ format:
```
16
Lattice="4.1905 2.4194 6.9257 -4.1905 2.4194 6.9257 0.0000 -4.8388 6.9257" Properties=species:S:1:pos:R:3 pbc="T T T"
La 0.0000 0.0000 0.0000
La -2.0953 -1.2097 6.9257
La -2.0952 1.2097 13.8514
La 0.0000 2.4194 6.9257
Nd 0.0000 0.0000 10.3885
Ho -4.1905 0.0000 10.3885
Ho -2.0952 1.2097 3.4628
Ho 2.0953 1.2097 3.4628
Se -2.1440 -1.2378 12.0085
Se 0.0000 0.0000 5.0475
Se 0.0000 -2.4756 8.7685
Se -2.1440 1.2378 8.7685
Se 2.1440 -1.2378 12.0085
Se 0.0000 2.4756 12.0085
Se 0.0000 0.0000 15.7295
Se 2.1440 1.2378 8.7685
```

Summary:
The uncorrected formation energy is -181 kJ/mol of atoms. The space-group type is No. 166. As for the total magnetization: 0.0 μB/cell.

[3]
Below is crystalline Cu2TeO4 at its relaxed geometry, with properties calculated at the PBE level.

The structure in extended XYZ format:
```
14
Lattice="2.7156 -3.7686 0.0000 2.7156 3.7686 0.0000 0.0000 0.0000 7.8051" Properties=species:S:1:pos:R:3 pbc="T T T"
Cu 2.6047 2.4593 0.0000
Cu 2.8264 2.4593 3.9026
Cu 2.6047 -2.4593 3.9026
Cu 2.8264 -2.4593 0.0000
Te 2.7156 0.0000 1.9513
Te 2.7156 0.0000 5.8538
O 1.3578 1.8843 1.4275
O 1.3578 1.8843 6.3776
O 1.6096 0.5347 3.9026
O 1.6096 -0.5347 0.0000
O 1.3578 -1.8843 2.4751
O 1.3578 -1.8843 5.3301
O 3.8216 0.5347 0.0000
O 3.8216 -0.5347 3.9026
```

Summary:
The uncorrected formation energy is -38 kJ/mol of atoms. The space-group type is No. 66. As for the total magnetization: 3.3 μB/cell.

[4]
Below is crystalline PmGa2Ag3 at its relaxed geometry, with properties calculated at the PBE level.

The structure in extended XYZ format:
```
12
Lattice="8.2952 -2.1551 0.0000 8.2952 2.1551 0.0000 -3.5636 0.0000 6.8261" Properties=species:S:1:pos:R:3 pbc="T T T"
Pm 1.5932 0.0000 1.5080
Pm 11.4336 0.0000 5.3181
Ga 0.9809 0.0000 4.6826
Ga 7.5314 0.0000 0.9395
Ga 5.4954 0.0000 5.8865
Ga 12.0459 0.0000 2.1435
Ag -1.7774 0.0000 4.8216
Ag 4.9393 0.0000 0.5084
Ag 4.8201 0.0000 3.3582
Ag 8.2067 0.0000 3.4679
Ag 8.0875 0.0000 6.3177
Ag 14.8041 0.0000 2.0044
```

Summary:
The calculated formation energy is -162 kJ/mol of formula units. The space-group type is No. 12. As for the total magnetization: 0.0 μB/cell.